# 1
VASP calculation (PBE-GGA) on a relaxed AcAlGa2Cu crystal.

Computed properties:
* magnetic moment: 0.0 μB/cell
* E_form: -0.4675 eV/atom
* density of states at the Fermi level: 1.49 states/eV/cell
* volume: 103 Å³/cell

a b c (Å): 6.2413 6.2413 6.2413
angles (deg): 139.07 139.07 59.26
Last column: nearest neighbours and their distance in Å.
Fractional positions:
Ac 0.0000 0.0000 0.0000  8 Ga 3.35, 4 Cu 3.48, 4 Al 3.48
Al 0.7500 0.2500 0.5000  4 Ga 2.59
Ga 0.3792 0.3792 0.0000  2 Cu 2.59, 2 Al 2.59, 1 Ga 2.62
Ga 0.6208 0.6208 0.0000  2 Al 2.59, 2 Cu 2.59, 1 Ga 2.62
Cu 0.2500 0.7500 0.5000  4 Ga 2.59

---

# 2
VASP calculation (PBE-GGA) on a relaxed Ac2AlGa4Cu3 crystal.

Computed properties:
* magnetic moment: 0.0 μB/cell
* E_form: -0.4395 eV/atom
* density of states at the Fermi level: 4.50 states/eV/cell
* volume: 202 Å³/cell

a b c (Å): 4.3631 4.3631 10.6365
angles (deg): 90.00 90.00 90.00
Last column: nearest neighbours and their distance in Å.
Fractional positions:
Ac 0.0000 0.5000 0.2459  8 Ga 3.33-3.41, 6 Cu 3.34-3.47, 2 Al 3.47
Ac 0.5000 0.0000 0.7541  8 Ga 3.33-3.41, 6 Cu 3.34-3.47, 2 Al 3.47
Al 0.0000 0.0000 0.5000  4 Ga 2.61
Ga 0.0000 0.0000 0.0000  4 Cu 2.56
Ga 0.0000 0.5000 0.6353  3 Cu 2.55-2.61, 2 Al 2.61
Ga 0.5000 0.0000 0.3647  3 Cu 2.55-2.61, 2 Al 2.61
Ga 0.5000 0.5000 0.0000  4 Cu 2.56
Cu 0.0000 0.5000 0.8746  5 Ga 2.55-2.56
Cu 0.5000 0.0000 0.1254  5 Ga 2.55-2.56
Cu 0.5000 0.5000 0.5000  4 Ga 2.61

---

# 3
VASP calculation (PBE-GGA) on a relaxed Ac2AlCu3Ge4 crystal.

Computed properties:
* magnetic moment: 0.0 μB/cell
* E_form: -0.4944 eV/atom
* density of states at the Fermi level: 3.30 states/eV/cell
* volume: 200 Å³/cell

a b c (Å): 4.3846 4.3846 10.3884
angles (deg): 90.00 90.00 90.00
Last column: nearest neighbours and their distance in Å.
Fractional positions:
Ac 0.0000 0.5000 0.2443  8 Ge 3.34-3.35, 6 Cu 3.35-3.44, 2 Al 3.44
Ac 0.5000 0.0000 0.7557  8 Ge 3.34-3.35, 6 Cu 3.35-3.44, 2 Al 3.44
Al 0.0000 0.0000 0.5000  4 Ge 2.61
Cu 0.0000 0.5000 0.8778  5 Ge 2.50-2.53
Cu 0.5000 0.0000 0.1222  5 Ge 2.50-2.53
Cu 0.5000 0.5000 0.5000  4 Ge 2.61
Ge 0.0000 0.0000 0.0000  4 Cu 2.53
Ge 0.0000 0.5000 0.6372  3 Cu 2.50-2.61, 2 Al 2.61
Ge 0.5000 0.0000 0.3628  3 Cu 2.50-2.61, 2 Al 2.61
Ge 0.5000 0.5000 0.0000  4 Cu 2.53

---

# 4
VASP calculation (PBE-GGA) on a relaxed Ac2Al3CuGe4 crystal.

Computed properties:
* magnetic moment: 0.0 μB/cell
* E_form: -0.3867 eV/atom
* density of states at the Fermi level: 3.83 states/eV/cell
* volume: 217 Å³/cell

a b c (Å): 4.7379 4.7379 9.6750
angles (deg): 90.00 90.00 90.00
Last column: nearest neighbours and their distance in Å.
Fractional positions:
Ac 0.0000 0.5000 0.2462  2 Cu 3.36, 7 Al 3.36-3.61, 9 Ge 3.41-3.57
Ac 0.5000 0.0000 0.7538  2 Cu 3.36, 7 Al 3.36-3.61, 9 Ge 3.41-3.57
Al 0.0000 0.0000 0.0000  4 Ge 2.65
Al 0.0000 0.5000 0.6147  5 Ge 2.54-2.62
Al 0.5000 0.0000 0.3853  5 Ge 2.54-2.62
Cu 0.5000 0.5000 0.0000  4 Ge 2.65
Ge 0.0000 0.0000 0.5000  4 Al 2.62
Ge 0.0000 0.5000 0.8777  3 Al 2.54-2.65, 2 Cu 2.65
Ge 0.5000 0.0000 0.1223  3 Al 2.54-2.65, 2 Cu 2.65
Ge 0.5000 0.5000 0.5000  4 Al 2.62

---

# 5
VASP calculation (PBE-GGA) on a relaxed Ac2AlCu4Ge3 crystal.

Computed properties:
* magnetic moment: 0.0 μB/cell
* E_form: -0.4723 eV/atom
* density of states at the Fermi level: 5.32 states/eV/cell
* volume: 195 Å³/cell

a b c (Å): 4.3322 4.3322 10.3999
angles (deg): 90.00 90.00 90.00
Last column: nearest neighbours and their distance in Å.
Fractional positions:
Ac 0.0000 0.5000 0.2429  6 Ge 3.29-3.44, 8 Cu 3.33-3.34, 2 Al 3.44
Ac 0.5000 0.0000 0.7571  6 Ge 3.29-3.44, 8 Cu 3.33-3.34, 2 Al 3.44
Al 0.0000 0.0000 0.5000  4 Cu 2.55
Cu 0.0000 0.0000 0.0000  4 Ge 2.53
Cu 0.0000 0.5000 0.6296  3 Ge 2.54-2.55, 2 Al 2.55
Cu 0.5000 0.0000 0.3704  3 Ge 2.54-2.55, 2 Al 2.55
Cu 0.5000 0.5000 0.0000  4 Ge 2.53
Ge 0.0000 0.5000 0.8737  5 Cu 2.53-2.54
Ge 0.5000 0.0000 0.1263  5 Cu 2.53-2.54
Ge 0.5000 0.5000 0.5000  4 Cu 2.55

---

# 6
VASP calculation (PBE-GGA) on a relaxed Ac2Al4CuHg3 crystal.

Computed properties:
* magnetic moment: 0.0 μB/cell
* E_form: -0.3459 eV/atom
* density of states at the Fermi level: 4.12 states/eV/cell
* volume: 233 Å³/cell

a b c (Å): 4.5761 4.5761 11.1063
angles (deg): 90.00 90.00 90.00
Last column: nearest neighbours and their distance in Å.
Fractional positions:
Ac 0.0000 0.5000 0.2409  6 Hg 3.50-3.52, 8 Al 3.51-3.68, 2 Cu 3.52
Ac 0.5000 0.0000 0.7591  6 Hg 3.50-3.52, 8 Al 3.51-3.68, 2 Cu 3.52
Al 0.0000 0.0000 0.5000  4 Hg 2.76
Al 0.0000 0.5000 0.8808  3 Hg 2.64-2.69, 2 Cu 2.64
Al 0.5000 0.0000 0.1192  3 Hg 2.64-2.69, 2 Cu 2.64
Al 0.5000 0.5000 0.5000  4 Hg 2.76
Cu 0.5000 0.5000 0.0000  4 Al 2.64
Hg 0.0000 0.0000 0.0000  4 Al 2.64
Hg 0.0000 0.5000 0.6386  5 Al 2.69-2.76
Hg 0.5000 0.0000 0.3614  5 Al 2.69-2.76

---

Please write out number 6 again, unchanged.
VASP calculation (PBE-GGA) on a relaxed Ac2Al4CuHg3 crystal.

Computed properties:
* magnetic moment: 0.0 μB/cell
* E_form: -0.3459 eV/atom
* density of states at the Fermi level: 4.12 states/eV/cell
* volume: 233 Å³/cell

a b c (Å): 4.5761 4.5761 11.1063
angles (deg): 90.00 90.00 90.00
Last column: nearest neighbours and their distance in Å.
Fractional positions:
Ac 0.0000 0.5000 0.2409  6 Hg 3.50-3.52, 8 Al 3.51-3.68, 2 Cu 3.52
Ac 0.5000 0.0000 0.7591  6 Hg 3.50-3.52, 8 Al 3.51-3.68, 2 Cu 3.52
Al 0.0000 0.0000 0.5000  4 Hg 2.76
Al 0.0000 0.5000 0.8808  3 Hg 2.64-2.69, 2 Cu 2.64
Al 0.5000 0.0000 0.1192  3 Hg 2.64-2.69, 2 Cu 2.64
Al 0.5000 0.5000 0.5000  4 Hg 2.76
Cu 0.5000 0.5000 0.0000  4 Al 2.64
Hg 0.0000 0.0000 0.0000  4 Al 2.64
Hg 0.0000 0.5000 0.6386  5 Al 2.69-2.76
Hg 0.5000 0.0000 0.3614  5 Al 2.69-2.76